Record 1
Material: Tm5In4Hg
Method: DFT, PBE-GGA
State: relaxed

Cell lengths 3.6829, 3.6829, 18.8591 Å; angles 90.00, 90.00, 90.00 degrees
With the nearest neighbours (Å) after each atom.
Fractional positions:
Tm (0.5000, 0.5000, 0.0957)  4 Hg 3.17, 4 In 3.23
Tm (0.5000, 0.5000, 0.2982)  8 In 3.23
Tm (0.5000, 0.5000, 0.5000)  8 In 3.22
Tm (0.5000, 0.5000, 0.7018)  8 In 3.23
Tm (0.5000, 0.5000, 0.9043)  4 Hg 3.17, 4 In 3.23
In (0.0000, 0.0000, 0.1971)  8 Tm 3.23
In (0.0000, 0.0000, 0.3994)  8 Tm 3.22-3.23
In (0.0000, 0.0000, 0.6006)  8 Tm 3.22-3.23
In (0.0000, 0.0000, 0.8029)  8 Tm 3.23
Hg (0.0000, 0.0000, 0.0000)  8 Tm 3.17

Computed properties:
SG: No. 123

Record 2
Material: TmInHg3
Method: DFT, PBE-GGA
State: relaxed

Cell lengths 5.6287, 6.2912, 8.3358 Å; angles 112.17, 83.58, 90.00 degrees
With the nearest neighbours (Å) after each atom.
Fractional positions:
Tm (0.6724, 0.1886, 0.3772)  8 Hg 3.04-3.31, 3 In 3.27-3.38
Tm (0.3276, 0.8114, 0.6228)  8 Hg 3.04-3.31, 3 In 3.27-3.38
In (0.7359, 0.6323, 0.2645)  4 Hg 3.09-3.41, 3 Tm 3.27-3.38
In (0.2641, 0.3677, 0.7355)  4 Hg 3.09-3.41, 3 Tm 3.27-3.38
Hg (0.8047, 0.5963, 0.6878)  3 Tm 3.04-3.31, 1 In 3.09, 4 Hg 3.12-3.19
Hg (0.8047, 0.0915, 0.6878)  3 Tm 3.04-3.31, 1 In 3.09, 4 Hg 3.12-3.19
Hg (0.1953, 0.9085, 0.3122)  3 Tm 3.04-3.31, 1 In 3.09, 4 Hg 3.12-3.19
Hg (0.1953, 0.4037, 0.3122)  3 Tm 3.04-3.31, 1 In 3.09, 4 Hg 3.12-3.19
Hg (0.0000, 0.0000, 0.0000)  2 Hg 2.81
Hg (0.5000, 0.0000, 0.0000)  2 Hg 2.81

Computed properties:
Polymorph energy (0 for the lowest one) (kJ/mol of formula units): 29
SG: No. 12

Record 3
Material: Y2TmIn2Hg2
Method: DFT, PBE-GGA
State: relaxed

Cell lengths 4.9373, 4.9373, 9.2746 Å; angles 74.56, 74.56, 60.00 degrees
With the nearest neighbours (Å) after each atom.
Fractional positions:
Y (0.1298, 0.1298, 0.6106)  3 Hg 3.04, 3 In 3.36
Y (0.8702, 0.8702, 0.3894)  3 Hg 3.04, 3 In 3.36
Tm (0.0000, 0.0000, 0.0000)  6 In 3.30, 2 Y 3.44
In (0.7292, 0.7292, 0.8124)  3 Hg 2.94, 3 Tm 3.30
In (0.2708, 0.2708, 0.1876)  3 Hg 2.94, 3 Tm 3.30
Hg (0.5763, 0.5763, 0.2711)  3 In 2.94, 3 Y 3.04
Hg (0.4237, 0.4237, 0.7289)  3 In 2.94, 3 Y 3.04

Computed properties:
SG: No. 166

Record 4
Material: TmZnInHg
Method: DFT, PBE-GGA
State: relaxed

Cell lengths 4.2530, 4.5457, 4.5992 Å; angles 90.00, 90.00, 90.00 degrees
With the nearest neighbours (Å) after each atom.
Fractional positions:
Tm (0.5000, 0.0000, 0.5000)  4 Hg 3.11, 4 In 3.13, 4 Zn 3.23
Zn (0.5000, 0.5000, 0.0000)  4 In 3.11, 4 Hg 3.13, 4 Tm 3.23
In (0.0000, 0.0000, 0.0000)  4 Zn 3.11, 4 Tm 3.13, 4 Hg 3.23
Hg (0.0000, 0.5000, 0.5000)  4 Tm 3.11, 4 Zn 3.13, 4 In 3.23

Computed properties:
Polymorph energy (0 for the lowest one) (kJ/mol of formula units): 0
SG: No. 47

Record 5
Material: TmZnInHg
Method: DFT, PBE-GGA
State: relaxed

Cell lengths 5.0023, 5.0023, 5.0023 Å; angles 60.00, 60.00, 60.00 degrees
With the nearest neighbours (Å) after each atom.
Fractional positions:
Zn (0.0000, 0.0000, 0.0000)  4 In 3.06, 4 Tm 3.06
Tm (0.7500, 0.7500, 0.7500)  4 Hg 3.06, 4 Zn 3.06
Hg (0.5000, 0.5000, 0.5000)  4 In 3.06, 4 Tm 3.06
In (0.2500, 0.2500, 0.2500)  4 Hg 3.06, 4 Zn 3.06

Computed properties:
Polymorph energy (0 for the lowest one) (kJ/mol of formula units): 7
SG: No. 216

Record 6
Material: UInHg
Method: DFT, PBE-GGA
State: relaxed

Cell lengths 3.1509, 3.1509, 7.5920 Å; angles 101.98, 101.98, 90.00 degrees
With the nearest neighbours (Å) after each atom.
Fractional positions:
U (0.0011, 0.0011, 0.0023)  4 U 3.15, 4 Hg 3.29, 4 In 3.33
Hg (0.6681, 0.6681, 0.3362)  4 Hg 3.15, 4 In 3.25, 4 U 3.29
In (0.3308, 0.3308, 0.6615)  4 In 3.15, 4 Hg 3.25, 4 U 3.33

Computed properties:
Polymorph energy (0 for the lowest one) (kJ/mol of formula units): 5
SG: No. 107

Record 7
Material: UInHg2
Method: DFT, PBE-GGA
State: relaxed

Cell lengths 4.5788, 4.6737, 4.6737 Å; angles 90.00, 90.00, 90.00 degrees
With the nearest neighbours (Å) after each atom.
Fractional positions:
U (0.5000, 0.0000, 0.0000)  8 Hg 3.27, 4 In 3.30
Hg (0.0000, 0.0000, 0.5000)  4 In 3.27, 4 U 3.27, 4 Hg 3.30
Hg (0.0000, 0.5000, 0.0000)  4 In 3.27, 4 U 3.27, 4 Hg 3.30
In (0.5000, 0.5000, 0.5000)  8 Hg 3.27, 4 U 3.30

Computed properties:
SG: No. 123

Record 8
Material: UInHg
Method: DFT, PBE-GGA
State: relaxed

Cell lengths 2.9898, 5.3503, 8.9012 Å; angles 90.00, 99.67, 90.00 degrees
With the nearest neighbours (Å) after each atom.
Fractional positions:
Hg (0.4386, 0.2500, 0.8772)  2 Hg 2.99, 6 In 3.15-3.24
Hg (0.5614, 0.7500, 0.1228)  2 Hg 2.99, 6 In 3.15-3.24
In (0.8974, 0.7500, 0.7949)  2 In 2.99, 6 Hg 3.15-3.24, 2 U 3.25
In (0.1026, 0.2500, 0.2051)  2 In 2.99, 6 Hg 3.15-3.24, 2 U 3.25
U (0.7670, 0.2500, 0.5340)  6 U 2.99-3.12, 2 In 3.25
U (0.2330, 0.7500, 0.4660)  6 U 2.99-3.12, 2 In 3.25

Computed properties:
Polymorph energy (0 for the lowest one) (kJ/mol of formula units): 0
SG: No. 63

Record 9
Material: UInHg2
Method: DFT, PBE-GGA
State: relaxed

Cell lengths 3.2669, 3.2669, 9.2004 Å; angles 90.00, 90.00, 90.00 degrees
With the nearest neighbours (Å) after each atom.
Fractional positions:
U (0.5000, 0.5000, 0.5000)  4 U 3.27, 8 Hg 3.28
Hg (0.0000, 0.0000, 0.7524)  4 In 3.24, 4 Hg 3.27, 4 U 3.28
Hg (0.0000, 0.0000, 0.2476)  4 In 3.24, 4 Hg 3.27, 4 U 3.28
In (0.5000, 0.5000, 0.0000)  8 Hg 3.24, 4 In 3.27

Computed properties:
SG: No. 123

Record 10
Material: UInHg
Method: DFT, PBE-GGA
State: relaxed

Cell lengths 3.1217, 3.1217, 8.3305 Å; angles 90.00, 90.00, 120.00 degrees
With the nearest neighbours (Å) after each atom.
Fractional positions:
U (0.0000, 0.0000, 0.0018)  6 U 3.12, 3 Hg 3.31, 3 In 3.35
Hg (0.6667, 0.3333, 0.3350)  6 Hg 3.12, 3 In 3.27, 3 U 3.31
In (0.3333, 0.6667, 0.6632)  6 In 3.12, 3 Hg 3.27, 3 U 3.35

Computed properties:
Polymorph energy (0 for the lowest one) (kJ/mol of formula units): 0
SG: No. 156

Record 11
Material: UZnInHg
Method: DFT, PBE-GGA
State: relaxed

Cell lengths 5.0484, 5.0484, 5.0484 Å; angles 60.00, 60.00, 60.00 degrees
With the nearest neighbours (Å) after each atom.
Fractional positions:
Zn (0.7500, 0.7500, 0.7500)  4 In 3.09, 4 U 3.09
U (0.5000, 0.5000, 0.5000)  4 Zn 3.09, 4 Hg 3.09
Hg (0.2500, 0.2500, 0.2500)  4 U 3.09, 4 In 3.09
In (0.0000, 0.0000, 0.0000)  4 Hg 3.09, 4 Zn 3.09

Computed properties:
SG: No. 216

Record 12
Material: V2In2Hg
Method: DFT, PBE-GGA
State: relaxed

Cell lengths 7.1896, 7.1896, 3.7963 Å; angles 90.00, 90.00, 90.00 degrees
With the nearest neighbours (Å) after each atom.
Fractional positions:
In (0.1859, 0.6859, 0.5000)  6 V 2.85-2.88
In (0.6859, 0.8141, 0.5000)  6 V 2.85-2.88
In (0.8141, 0.3141, 0.5000)  6 V 2.85-2.88
In (0.3141, 0.1859, 0.5000)  6 V 2.85-2.88
Hg (0.0000, 0.0000, 0.0000)  4 V 2.94, 8 In 3.24
Hg (0.5000, 0.5000, 0.0000)  4 V 2.94, 8 In 3.24
V (0.3950, 0.8950, 0.0000)  1 V 2.13
V (0.8950, 0.6050, 0.0000)  1 V 2.13
V (0.6050, 0.1050, 0.0000)  1 V 2.13
V (0.1050, 0.3950, 0.0000)  1 V 2.13

Computed properties:
Polymorph energy (0 for the lowest one) (kJ/mol of formula units): 0
SG: No. 127

| no. | calculated formation energy (eV/atom) |
| --- | --- |
| 1 | -0.43 |
| 2 | -0.14 |
| 3 | -0.24 |
| 4 | -0.28 |
| 5 | -0.26 |
| 6 | 0.18 |
| 7 | 0.16 |
| 8 | 0.16 |
| 9 | 0.17 |
| 10 | 0.16 |
| 11 | 0.16 |
| 12 | 0.26 |